(1)
The following is a DFT calculation (PBE) of SrNd2In6 after structural relaxation.

Summary:
Formation enthalpy at 0 K (eV/f.u.): -3.9
V (Å³ per atom): 27.9
D(E_F) (states/eV/cell): 5.220

Lattice parameters (Å, degrees): 3.798 8.739 8.739 120.00 90.00 90.00
Fractional coordinates of all 9 atoms:
Sr (0.000, 0.000, 0.000)
Nd (0.000, 0.333, 0.667)
Nd (0.000, 0.667, 0.333)
In (0.500, 0.336, 0.336)
In (0.500, 0.664, 0.664)
In (0.500, 0.000, 0.664)
In (0.500, 0.664, 0.000)
In (0.500, 0.336, 0.000)
In (0.500, 0.000, 0.336)

=====

(2)
The following is a DFT calculation (PBE) of K2TlPbBr6 after structural relaxation.

Summary:
Energy relative to the elements, uncorrected (eV/atom): -1.1417
V (Å³ per atom): 37.2
D(E_F) (states/eV/cell): 9.105

Lattice parameters (Å, degrees): 7.859 8.339 11.361 90.00 90.19 90.00
Fractional coordinates of all 20 atoms:
K (0.030, 0.919, 0.250)
K (0.530, 0.581, 0.750)
K (0.970, 0.081, 0.750)
K (0.470, 0.419, 0.250)
Tl (0.500, 0.000, 0.500)
Tl (0.000, 0.500, 0.000)
Pb (0.500, 0.000, 0.000)
Pb (0.000, 0.500, 0.500)
Br (0.309, 0.699, 0.063)
Br (0.809, 0.801, 0.563)
Br (0.691, 0.301, 0.937)
Br (0.191, 0.199, 0.437)
Br (0.306, 0.696, 0.436)
Br (0.806, 0.804, 0.936)
Br (0.694, 0.304, 0.564)
Br (0.194, 0.196, 0.064)
Br (0.876, 0.541, 0.251)
Br (0.376, 0.959, 0.751)
Br (0.124, 0.459, 0.749)
Br (0.624, 0.041, 0.249)

=====

(3)
The following is a DFT calculation (PBE) of LiTh3S4 after structural relaxation.

Summary:
Energy relative to the elements, uncorrected (eV/atom): -1.7618
V (Å³ per atom): 22.5
D(E_F) (states/eV/cell): 5.846

Lattice parameters (Å, degrees): 6.849 7.018 7.908 90.00 90.00 109.06
Fractional coordinates of all 16 atoms:
S (0.986, 0.235, 0.638)
S (0.502, 0.236, 0.882)
S (0.486, 0.235, 0.362)
S (0.002, 0.236, 0.118)
S (0.998, 0.764, 0.882)
S (0.514, 0.765, 0.638)
S (0.498, 0.764, 0.118)
S (0.014, 0.765, 0.362)
Th (0.750, 0.000, 0.375)
Th (0.250, 0.000, 0.625)
Th (0.750, 0.500, 0.619)
Th (0.750, 0.500, 0.129)
Th (0.250, 0.500, 0.381)
Th (0.250, 0.500, 0.871)
Li (0.750, 0.000, 0.887)
Li (0.250, 0.000, 0.113)

=====

(4)
The following is a DFT calculation (PBE) of DyHoInAu after structural relaxation.

Summary:
Formation enthalpy at 0 K (eV/f.u.): -2.7
V (Å³ per atom): 24.9
D(E_F) (states/eV/cell): 2.239

Lattice parameters (Å, degrees): 3.601 3.601 7.671 90.00 90.00 90.00
Fractional coordinates of all 4 atoms:
Dy (0.000, 0.000, 0.839)
Ho (0.000, 0.000, 0.377)
In (0.500, 0.500, 0.109)
Au (0.500, 0.500, 0.603)

=====

(5)
The following is a DFT calculation (PBE) of NdGdZnTc after structural relaxation.

Summary:
Formation enthalpy at 0 K (eV/f.u.): -0.2
V (Å³ per atom): 22.5
D(E_F) (states/eV/cell): 2.026

Lattice parameters (Å, degrees): 5.029 5.029 5.029 60.00 60.00 60.00
Site moments in Bohr magnetons follow the coordinates.
Fractional coordinates of all 4 atoms:
Zn (0.750, 0.750, 0.750)  0.00
Gd (0.000, 0.000, 0.000)  7.05
Nd (0.500, 0.500, 0.500)  0.00
Tc (0.250, 0.250, 0.250)  -0.20

=====

(6)
The following is a DFT calculation (PBE) of Mg2AgAsS after structural relaxation.

Summary:
Energy relative to the elements, uncorrected (eV/atom): -0.1469
V (Å³ per atom): 24.1
D(E_F) (states/eV/cell): 0.000

Lattice parameters (Å, degrees): 5.001 4.813 5.001 90.00 90.00 90.00
Fractional coordinates of all 5 atoms:
Mg (0.000, 0.000, 0.500)
Mg (0.500, 0.000, 0.000)
As (0.000, 0.000, 0.000)
S (0.500, 0.500, 0.500)
Ag (0.000, 0.500, 0.000)

=====

(7)
The following is a DFT calculation (PBE) of ScTl2Ga after structural relaxation.

Summary:
Formation enthalpy at 0 K (eV/f.u.): 0.1
V (Å³ per atom): 24.4
D(E_F) (states/eV/cell): 2.372

Lattice parameters (Å, degrees): 5.170 5.170 5.170 60.00 60.00 60.00
Fractional coordinates of all 4 atoms:
Sc (0.000, 0.000, 0.000)
Tl (0.250, 0.250, 0.250)
Tl (0.750, 0.750, 0.750)
Ga (0.500, 0.500, 0.500)

=====

(8)
The following is a DFT calculation (PBE) of YCdNi after structural relaxation.

Summary:
Formation enthalpy at 0 K (eV/f.u.): 1.1
V (Å³ per atom): 25.2
D(E_F) (states/eV/cell): 2.669

Lattice parameters (Å, degrees): 4.748 4.748 4.748 60.00 60.00 60.00
Fractional coordinates of all 3 atoms:
Cd (0.000, 0.000, 0.000)
Ni (0.500, 0.500, 0.500)
Y (0.750, 0.750, 0.750)

=====

Listing uncorrected energy for the structures above in their given order: -31.5, -59.4, -109.6, -17.9, -30.7, -15.6, -13.9, -12.1 eV per cell.
Listing spin magnetization for the structures above in their given order: 0.000, 0.000, 0.000, 0.000, 6.976, 0.000, 0.000, 0.000 μB per cell.